1.
First-principles (PBE-GGA) data for a geometry-optimized Sm12YSc3 structure, as listed in Alexandria.

Summary:
- M_tot (Bohr magnetons per cell) = 0.000
- ΔE_f (eV per atom) = 0.034
- electronic total energy (eV per cell) = -81.5

Cell lengths 5.029, 5.029, 20.069 Å; angles 90.00, 90.00, 90.00 degrees
Space group P4/mmm (No. 123)
Unique sites:
Sm  0.000  0.000  0.000 [1 per cell]
Sm  0.000  0.000  0.247 [2 per cell]
Sm  0.000  0.000  0.500 [1 per cell]
Sm  0.000  0.500  0.124 [4 per cell]
Sm  0.000  0.500  0.371 [4 per cell]
Y  0.500  0.500  0.500 [1 per cell]
Sc  0.500  0.500  0.000 [1 per cell]
Sc  0.500  0.500  0.247 [2 per cell]

2.
First-principles (PBE-GGA) data for a geometry-optimized Ag2S6Cl structure, as listed in Alexandria.

Summary:
- formation energy without anion corrections (eV per atom) = 0.049
- M_tot (Bohr magnetons per cell) = 0.000
- electronic total energy (eV per cell) = -31.9

Cell lengths 4.334, 6.394, 9.315 Å; angles 90.70, 96.61, 99.91 degrees
Space group P-1 (No. 2)
Unique sites:
Ag  0.138  0.021  0.191 [2 per cell]
S  0.038  0.336  0.698 [2 per cell]
S  0.060  0.726  0.657 [2 per cell]
S  0.244  0.259  0.525 [2 per cell]
Cl  0.500  0.000  0.000 [1 per cell]

3.
First-principles (PBE-GGA) data for a geometry-optimized Ni2HIrRu structure, as listed in Alexandria.

Summary:
- M_tot (Bohr magnetons per cell) = 0.000
- electronic total energy (eV per cell) = -32.2

Cell lengths 3.788, 3.788, 3.705 Å; angles 90.00, 90.00, 90.00 degrees
Space group P4/mmm (No. 123)
Unique sites:
Ni  0.000  0.500  0.000 [2 per cell]
H  0.000  0.000  0.000 [1 per cell]
Ir  0.000  0.000  0.500 [1 per cell]
Ru  0.500  0.500  0.500 [1 per cell]

4.
First-principles (PBE-GGA) data for a geometry-optimized CePu2Tc3 structure, as listed in Alexandria.

Summary:
- M_tot (Bohr magnetons per cell) = 7.114
- ΔE_f (eV per atom) = 0.069
- electronic total energy (eV per cell) = -65.3

Cell lengths 5.8999, 5.8999, 4.1047 Å; angles 90.00, 90.00, 120.00 degrees
Space group P6/mmm (No. 191)
Unique sites:
Ce  0.0000  0.0000  0.0000 [1 per cell]
Pu  0.3333  0.6667  0.0000 [2 per cell]
Tc  0.0000  0.5000  0.5000 [3 per cell]

5.
First-principles (PBE-GGA) data for a geometry-optimized Y3HfW structure, as listed in Alexandria.

Summary:
- M_tot (Bohr magnetons per cell) = 0.001
- ΔE_f (eV per atom) = 1.742
- electronic total energy (eV per cell) = -33.6

Cell lengths 5.321, 5.321, 5.321 Å; angles 90.00, 90.00, 90.00 degrees
Space group Pm-3m (No. 221)
Unique sites:
Y  0.000  0.000  0.500 [3 per cell]
Hf  0.000  0.000  0.000 [1 per cell]
W  0.500  0.500  0.500 [1 per cell]

6.
First-principles (PBE-GGA) data for a geometry-optimized Sc2CrCu structure, as listed in Alexandria.

Summary:
- M_tot (Bohr magnetons per cell) = 18.108
- ΔE_f (eV per atom) = 0.212
- electronic total energy (eV per cell) = -102.1

Cell lengths 6.581, 6.581, 6.581 Å; angles 90.00, 90.00, 90.00 degrees
Space group F-43m (No. 216)
Unique sites:
Sc  0.000  0.000  0.000 [4 per cell]
Sc  0.250  0.250  0.250 [4 per cell]
Cr  0.000  0.000  0.500 [4 per cell]
Cu  0.250  0.250  0.750 [4 per cell]

7.
First-principles (PBE-GGA) data for a geometry-optimized AcPr2Cd2 structure, as listed in Alexandria.

Summary:
- M_tot (Bohr magnetons per cell) = 0.000
- ΔE_f (eV per atom) = -0.189
- electronic total energy (eV per cell) = -65.8

Cell lengths 5.676, 16.710, 6.810 Å; angles 90.00, 90.00, 90.00 degrees
Space group Cmc2_1 (No. 36)
Unique sites:
Ac  0.000  0.087  0.000 [4 per cell]
Pr  0.000  0.300  0.779 [4 per cell]
Pr  0.000  0.469  0.134 [4 per cell]
Cd  0.000  0.130  0.505 [4 per cell]
Cd  0.000  0.290  0.278 [4 per cell]

8.
First-principles (PBE-GGA) data for a geometry-optimized RbNpVBr6 structure, as listed in Alexandria.

Summary:
- formation energy without anion corrections (eV per atom) = -1.254
- M_tot (Bohr magnetons per cell) = 14.000
- electronic total energy (eV per cell) = -88.7

Cell lengths 7.0824, 7.0824, 15.8426 Å; angles 90.00, 90.00, 120.00 degrees
Space group P-31c (No. 163)
Unique sites:
Rb  0.0000  0.0000  0.0000 [2 per cell]
Np  0.3333  0.6667  0.2500 [2 per cell]
V  0.3333  0.6667  0.7500 [2 per cell]
Br  0.0267  0.3755  0.6488 [12 per cell]

9.
First-principles (PBE-GGA) data for a geometry-optimized ReTc2Hg structure, as listed in Alexandria.

Summary:
- M_tot (Bohr magnetons per cell) = 0.000
- ΔE_f (eV per atom) = 0.319
- electronic total energy (eV per cell) = -32.2

Cell lengths 2.835, 2.835, 8.040 Å; angles 90.00, 90.00, 90.00 degrees
Space group P4/mmm (No. 123)
Unique sites:
Re  0.000  0.000  0.000 [1 per cell]
Tc  0.500  0.500  0.225 [2 per cell]
Hg  0.000  0.000  0.500 [1 per cell]

10.
First-principles (PBE-GGA) data for a geometry-optimized Pm2TmSc structure, as listed in Alexandria.

Summary:
- M_tot (Bohr magnetons per cell) = 0.002
- ΔE_f (eV per atom) = 0.093
- electronic total energy (eV per cell) = -79.7

Cell lengths 7.899, 7.899, 7.899 Å; angles 90.00, 90.00, 90.00 degrees
Space group Fm-3m (No. 225)
Unique sites:
Pm  0.250  0.250  0.250 [8 per cell]
Tm  0.000  0.000  0.000 [4 per cell]
Sc  0.000  0.000  0.500 [4 per cell]

11.
First-principles (PBE-GGA) data for a geometry-optimized SrLi17Ho structure, as listed in Alexandria.

Summary:
- M_tot (Bohr magnetons per cell) = 0.000
- ΔE_f (eV per atom) = 0.060
- electronic total energy (eV per cell) = -113.0

Cell lengths 10.0109, 10.0109, 14.8221 Å; angles 90.00, 90.00, 120.00 degrees
Space group R3m (No. 160, hexagonal axes)
Unique sites:
Sr  0.0000  0.0000  0.0000 [3 per cell]
Li  0.0000  0.0000  0.2541 [3 per cell]
Li  0.0000  0.0000  0.4478 [3 per cell]
Li  0.0084  0.5042  0.8474 [9 per cell]
Li  0.0086  0.3000  0.3487 [18 per cell]
Li  0.0207  0.5103  0.4959 [9 per cell]
Li  0.0212  0.5106  0.2001 [9 per cell]
Ho  0.0000  0.0000  0.6834 [3 per cell]

12.
First-principles (PBE-GGA) data for a geometry-optimized ZnRh2I structure, as listed in Alexandria.

Summary:
- formation energy without anion corrections (eV per atom) = 0.350
- M_tot (Bohr magnetons per cell) = 0.000
- electronic total energy (eV per cell) = -64.5

Cell lengths 4.205, 4.205, 16.951 Å; angles 90.00, 90.00, 90.00 degrees
Space group I-42d (No. 122)
Unique sites:
Zn  0.000  0.000  0.000 [4 per cell]
Rh  0.248  0.250  0.125 [8 per cell]
I  0.000  0.000  0.500 [4 per cell]

13.
First-principles (PBE-GGA) data for a geometry-optimized BaMgN2F structure, as listed in Alexandria.

Summary:
- formation energy without anion corrections (eV per atom) = -0.702
- M_tot (Bohr magnetons per cell) = 3.003
- electronic total energy (eV per cell) = -25.6

Cell lengths 4.305, 4.305, 4.139 Å; angles 90.00, 90.00, 90.00 degrees
Space group P4/mmm (No. 123)
Unique sites:
Ba  0.000  0.000  0.000 [1 per cell]
Mg  0.500  0.500  0.500 [1 per cell]
N  0.000  0.500  0.500 [2 per cell]
F  0.500  0.500  0.000 [1 per cell]

14.
First-principles (PBE-GGA) data for a geometry-optimized Cs2BaCrI6 structure, as listed in Alexandria.

Summary:
- formation energy without anion corrections (eV per atom) = -1.188
- M_tot (Bohr magnetons per cell) = 8.000
- electronic total energy (eV per cell) = -68.9

Cell lengths 8.842, 8.842, 12.497 Å; angles 90.00, 90.00, 90.00 degrees
Space group I4/mmm (No. 139)
Unique sites:
Cs  0.000  0.500  0.250 [4 per cell]
Ba  0.000  0.000  0.000 [2 per cell]
Cr  0.000  0.000  0.500 [2 per cell]
I  0.000  0.000  0.270 [4 per cell]
I  0.230  0.230  0.500 [8 per cell]

15.
First-principles (PBE-GGA) data for a geometry-optimized CePuCuOs structure, as listed in Alexandria.

Summary:
- M_tot (Bohr magnetons per cell) = 23.542
- ΔE_f (eV per atom) = -0.050
- electronic total energy (eV per cell) = -143.2

Cell lengths 6.895, 6.895, 6.895 Å; angles 90.00, 90.00, 90.00 degrees
Space group F-43m (No. 216)
Unique sites:
Ce  0.000  0.000  0.000 [4 per cell]
Pu  0.000  0.000  0.500 [4 per cell]
Cu  0.250  0.250  0.750 [4 per cell]
Os  0.250  0.250  0.250 [4 per cell]

16.
First-principles (PBE-GGA) data for a geometry-optimized YNi2P structure, as listed in Alexandria.

Summary:
- M_tot (Bohr magnetons per cell) = 0.002
- ΔE_f (eV per atom) = -0.262
- electronic total energy (eV per cell) = -97.9

Cell lengths 6.265, 6.265, 6.265 Å; angles 90.00, 90.00, 90.00 degrees
Space group F-43m (No. 216)
Unique sites:
Y  0.000  0.000  0.000 [4 per cell]
Ni  0.000  0.000  0.500 [4 per cell]
Ni  0.250  0.250  0.250 [4 per cell]
P  0.250  0.250  0.750 [4 per cell]

17.
First-principles (PBE-GGA) data for a geometry-optimized Li4Tc3 structure, as listed in Alexandria.

Summary:
- M_tot (Bohr magnetons per cell) = 0.000
- ΔE_f (eV per atom) = 0.305
- electronic total energy (eV per cell) = -73.2

Cell lengths 2.808, 2.808, 27.594 Å; angles 90.00, 90.00, 90.00 degrees
Space group I4/mmm (No. 139)
Unique sites:
Li  0.000  0.000  0.072 [4 per cell]
Li  0.000  0.000  0.349 [4 per cell]
Tc  0.000  0.000  0.222 [4 per cell]
Tc  0.000  0.000  0.500 [2 per cell]

18.
First-principles (PBE-GGA) data for a geometry-optimized LiSO4 structure, as listed in Alexandria.

Summary:
- formation energy without anion corrections (eV per atom) = -1.373
- M_tot (Bohr magnetons per cell) = 2.026
- electronic total energy (eV per cell) = -68.2

Cell lengths 5.3600, 5.3600, 9.0246 Å; angles 90.00, 90.00, 120.00 degrees
Space group P6_3 (No. 173)
Unique sites:
Li  0.3333  0.6667  0.0000 [2 per cell]
S  0.3333  0.6667  0.6195 [2 per cell]
O  0.0509  0.6179  0.5677 [6 per cell]
O  0.3333  0.6667  0.7841 [2 per cell]

19.
First-principles (PBE-GGA) data for a geometry-optimized KTaBe2 structure, as listed in Alexandria.

Summary:
- M_tot (Bohr magnetons per cell) = 0.000
- ΔE_f (eV per atom) = 0.897
- electronic total energy (eV per cell) = -50.4

Cell lengths 2.9529, 2.9529, 29.3454 Å; angles 90.00, 90.00, 120.00 degrees
Space group R-3m (No. 166, hexagonal axes)
Unique sites:
K  0.0000  0.0000  0.0000 [3 per cell]
Ta  0.0000  0.0000  0.5000 [3 per cell]
Be  0.0000  0.0000  0.2352 [6 per cell]

20.
First-principles (PBE-GGA) data for a geometry-optimized RbHO structure, as listed in Alexandria.

Summary:
- M_tot (Bohr magnetons per cell) = 0.000
- electronic total energy (eV per cell) = -26.3

Cell lengths 4.228, 4.229, 6.229 Å; angles 90.00, 104.34, 90.00 degrees
Space group P2_1/m (No. 11)
Unique sites:
Rb  0.175  0.250  0.293 [2 per cell]
H  0.461  0.250  0.908 [2 per cell]
O  0.323  0.250  0.758 [2 per cell]